Record 1
DFT (meta-GGA SCAN) results for a PBEsol-optimized structure of BeCdMo.

Calculated values
Calculated total energy: -68.31 eV/f.u.
ΔE_f: 43 kJ/mol of atoms
Energy relative to the lowest polymorph listed for this composition: 0.127 eV/atom

Structure (extended XYZ):
```
3
Lattice="2.7755 0.0000 0.0000 -1.3878 2.4037 0.0000 0.0000 0.0000 6.6944" Properties=species:S:1:pos:R:3 pbc="T T T"
Be 0.0000 0.0000 0.0000
Cd 0.0000 1.6024 4.4700
Mo 1.3878 0.8012 1.9509
```

=====

Record 2
DFT (meta-GGA SCAN) results for a PBEsol-optimized structure of BeCdN3.

Calculated values
Calculated total energy: -49.59 eV/f.u.
Formation energy from raw total energies: 2.610 eV/atom

Structure (extended XYZ):
```
5
Lattice="4.1433 0.0000 0.0000 0.0000 4.1433 0.0000 0.0000 0.0000 4.1433" Properties=species:S:1:pos:R:3 pbc="T T T"
Be 0.0000 0.0000 0.0000
Cd 2.0716 2.0716 2.0716
N 0.0000 2.0716 2.0716
N 2.0716 0.0000 2.0716
N 2.0716 2.0716 0.0000
```

=====

Record 3
DFT (meta-GGA SCAN) results for a PBEsol-optimized structure of BeCdNO2.

Calculated values
Calculated total energy: -57.91 eV/f.u.
Formation energy from raw total energies: -0.277 eV/atom

Structure (extended XYZ):
```
5
Lattice="3.6146 0.0000 0.0000 0.0000 3.6146 0.0000 0.0000 0.0000 3.5700" Properties=species:S:1:pos:R:3 pbc="T T T"
Be 0.0000 0.0000 0.0000
Cd 1.8073 1.8073 1.7850
N 0.0000 0.0000 1.7850
O 0.0000 1.8073 0.0000
O 1.8073 0.0000 0.0000
```

=====

Record 4
DFT (meta-GGA SCAN) results for a PBEsol-optimized structure of Na2BeZnCd.

Calculated values
Calculated total energy: -54.56 eV/f.u.
ΔE_f: 42 kJ/mol of atoms

Structure (extended XYZ):
```
5
Lattice="5.3533 0.0000 0.0000 0.0000 5.3533 0.0000 0.0000 0.0000 4.3039" Properties=species:S:1:pos:R:3 pbc="T T T"
Na 0.0000 2.6767 0.0000
Na 2.6767 0.0000 0.0000
Be 0.0000 0.0000 2.1519
Zn 0.0000 0.0000 0.0000
Cd 2.6767 2.6767 2.1519
```